No. 1
First-principles (GGA-PBE) data for an optimized crystal structure of CePrEr2Se4, as listed in the Alexandria database.

Geometry as CIF:
```
data_CePrEr2Se4
_chemical_formula_sum 'Ce1 Pr1 Er2 Se4'
_cell_length_a 7.080
_cell_length_b 4.072
_cell_length_c 7.328
_cell_angle_alpha 90.00
_cell_angle_beta 108.63
_cell_angle_gamma 90.00
_space_group_name_H-M_alt 'P 1 2/m 1'
_space_group_IT_number 10
loop_
_space_group_symop_operation_xyz
'x,y,z'
'-x,-y,-z'
'-x,y,-z'
'x,-y,z'
loop_
_atom_site_label
_atom_site_type_symbol
_atom_site_fract_x
_atom_site_fract_y
_atom_site_fract_z
Ce1 Ce 0.000 0.000 0.000
Pr1 Pr 0.500 0.500 0.000
Er1 Er 0.000 0.500 0.500
Er2 Er 0.500 0.000 0.500
Se1 Se 0.241 0.000 0.731
Se2 Se 0.254 0.500 0.268
```

***

No. 2
First-principles (GGA-PBE) data for an optimized crystal structure of CePr3Er2Se6, as listed in the Alexandria database.

Geometry as CIF:
```
data_CePr3Er2Se6
_chemical_formula_sum 'Ce2 Pr6 Er4 Se12'
_cell_length_a 7.185
_cell_length_b 12.483
_cell_length_c 7.316
_cell_angle_alpha 90.00
_cell_angle_beta 109.28
_cell_angle_gamma 90.00
_space_group_name_H-M_alt 'C 1 2/m 1'
_space_group_IT_number 12
loop_
_space_group_symop_operation_xyz
'x,y,z'
'-x,-y,-z'
'-x,y,-z'
'x,-y,z'
'x+1/2,y+1/2,z'
'-x+1/2,-y+1/2,-z'
'-x+1/2,y+1/2,-z'
'x+1/2,-y+1/2,z'
loop_
_atom_site_label
_atom_site_type_symbol
_atom_site_fract_x
_atom_site_fract_y
_atom_site_fract_z
Ce1 Ce 0.000 0.000 0.000
Pr1 Pr 0.000 0.164 0.500
Pr2 Pr 0.000 0.500 0.500
Er1 Er 0.000 0.333 0.000
Se1 Se 0.235 0.500 0.232
Se2 Se 0.249 0.171 0.235
```

***

No. 3
First-principles (GGA-PBE) data for an optimized crystal structure of CePr2Er3Se6, as listed in the Alexandria database.

Geometry as CIF:
```
data_CePr2Er3Se6
_chemical_formula_sum 'Ce2 Pr4 Er6 Se12'
_cell_length_a 18.229
_cell_length_b 4.076
_cell_length_c 8.432
_cell_angle_alpha 90.00
_cell_angle_beta 105.50
_cell_angle_gamma 90.00
_space_group_name_H-M_alt 'C 1 2/m 1'
_space_group_IT_number 12
loop_
_space_group_symop_operation_xyz
'x,y,z'
'-x,-y,-z'
'-x,y,-z'
'x,-y,z'
'x+1/2,y+1/2,z'
'-x+1/2,-y+1/2,-z'
'-x+1/2,y+1/2,-z'
'x+1/2,-y+1/2,z'
loop_
_atom_site_label
_atom_site_type_symbol
_atom_site_fract_x
_atom_site_fract_y
_atom_site_fract_z
Ce1 Ce 0.000 0.000 0.000
Pr1 Pr 0.166 0.500 0.332
Er1 Er 0.000 0.000 0.500
Er2 Er 0.168 0.500 0.835
Se1 Se 0.005 0.500 0.741
Se2 Se 0.162 0.000 0.596
Se3 Se 0.170 0.000 0.071
```

***

No. 4
First-principles (GGA-PBE) data for an optimized crystal structure of CePr4Er3Se8, as listed in the Alexandria database.

Geometry as CIF:
```
data_CePr4Er3Se8
_chemical_formula_sum 'Ce3 Pr12 Er9 Se24'
_cell_length_a 8.2781
_cell_length_b 8.2781
_cell_length_c 20.7791
_cell_angle_alpha 90.00
_cell_angle_beta 90.00
_cell_angle_gamma 120.00
_space_group_name_H-M_alt 'R -3 m'
_space_group_IT_number 166
_space_group_name_Hall '-R 3 2"'
loop_
_atom_site_label
_atom_site_type_symbol
_atom_site_fract_x
_atom_site_fract_y
_atom_site_fract_z
Ce1 Ce 0.0000 0.0000 0.0000
Pr1 Pr 0.0000 0.0000 0.5000
Pr2 Pr 0.0000 0.5000 0.5000
Er1 Er 0.0000 0.5000 0.0000
Se1 Se 0.0000 0.0000 0.2571
Se2 Se 0.0064 0.5032 0.2556
```

***

No. 5
First-principles (GGA-PBE) data for an optimized crystal structure of Ce3Pr4ErSe8, as listed in the Alexandria database.

Geometry as CIF:
```
data_Ce3Pr4ErSe8
_chemical_formula_sum 'Ce6 Pr8 Er2 Se16'
_cell_length_a 14.629
_cell_length_b 8.449
_cell_length_c 8.446
_cell_angle_alpha 90.00
_cell_angle_beta 125.24
_cell_angle_gamma 90.00
_space_group_name_H-M_alt 'C 1 2/m 1'
_space_group_IT_number 12
loop_
_space_group_symop_operation_xyz
'x,y,z'
'-x,-y,-z'
'-x,y,-z'
'x,-y,z'
'x+1/2,y+1/2,z'
'-x+1/2,-y+1/2,-z'
'-x+1/2,y+1/2,-z'
'x+1/2,-y+1/2,z'
loop_
_atom_site_label
_atom_site_type_symbol
_atom_site_fract_x
_atom_site_fract_y
_atom_site_fract_z
Ce1 Ce 0.000 0.000 0.000
Ce2 Ce 0.250 0.250 0.500
Pr1 Pr 0.000 0.000 0.500
Pr2 Pr 0.000 0.500 0.500
Pr3 Pr 0.250 0.250 0.000
Er1 Er 0.000 0.500 0.000
Se1 Se 0.001 0.255 0.242
Se2 Se 0.243 0.500 0.245
Se3 Se 0.248 0.000 0.250
```

***

No. 6
First-principles (GGA-PBE) data for an optimized crystal structure of Ce3Pr2ErSe6, as listed in the Alexandria database.

Geometry as CIF:
```
data_Ce3Pr2ErSe6
_chemical_formula_sum 'Ce6 Pr4 Er2 Se12'
_cell_length_a 18.319
_cell_length_b 4.179
_cell_length_c 8.450
_cell_angle_alpha 90.00
_cell_angle_beta 103.46
_cell_angle_gamma 90.00
_space_group_name_H-M_alt 'C 1 2/m 1'
_space_group_IT_number 12
loop_
_space_group_symop_operation_xyz
'x,y,z'
'-x,-y,-z'
'-x,y,-z'
'x,-y,z'
'x+1/2,y+1/2,z'
'-x+1/2,-y+1/2,-z'
'-x+1/2,y+1/2,-z'
'x+1/2,-y+1/2,z'
loop_
_atom_site_label
_atom_site_type_symbol
_atom_site_fract_x
_atom_site_fract_y
_atom_site_fract_z
Ce1 Ce 0.000 0.000 0.000
Ce2 Ce 0.170 0.500 0.334
Pr1 Pr 0.167 0.500 0.834
Er1 Er 0.000 0.000 0.500
Se1 Se 0.002 0.500 0.262
Se2 Se 0.161 0.000 0.577
Se3 Se 0.166 0.000 0.086
```

***

No. 7
First-principles (GGA-PBE) data for an optimized crystal structure of CePr2ErSe5, as listed in the Alexandria database.

Geometry as CIF:
```
data_CePr2ErSe5
_chemical_formula_sum 'Ce1 Pr2 Er1 Se5'
_cell_length_a 5.068
_cell_length_b 5.068
_cell_length_c 10.959
_cell_angle_alpha 90.00
_cell_angle_beta 90.00
_cell_angle_gamma 90.00
_space_group_name_H-M_alt 'P 4/m m m'
_space_group_IT_number 123
_space_group_name_Hall '-P 4 2'
loop_
_atom_site_label
_atom_site_type_symbol
_atom_site_fract_x
_atom_site_fract_y
_atom_site_fract_z
Ce1 Ce 0.000 0.000 0.000
Pr1 Pr 0.500 0.500 0.297
Er1 Er 0.000 0.000 0.500
Se1 Se 0.000 0.000 0.251
Se2 Se 0.000 0.500 0.500
Se3 Se 0.500 0.500 0.000
```

***

No. 8
First-principles (GGA-PBE) data for an optimized crystal structure of Ce2PrEr3Se6, as listed in the Alexandria database.

Geometry as CIF:
```
data_Ce2PrEr3Se6
_chemical_formula_sum 'Ce4 Pr2 Er6 Se12'
_cell_length_a 7.071
_cell_length_b 12.263
_cell_length_c 7.291
_cell_angle_alpha 90.00
_cell_angle_beta 108.89
_cell_angle_gamma 90.00
_space_group_name_H-M_alt 'C 1 2/m 1'
_space_group_IT_number 12
loop_
_space_group_symop_operation_xyz
'x,y,z'
'-x,-y,-z'
'-x,y,-z'
'x,-y,z'
'x+1/2,y+1/2,z'
'-x+1/2,-y+1/2,-z'
'-x+1/2,y+1/2,-z'
'x+1/2,-y+1/2,z'
loop_
_atom_site_label
_atom_site_type_symbol
_atom_site_fract_x
_atom_site_fract_y
_atom_site_fract_z
Ce1 Ce 0.000 0.167 0.000
Pr1 Pr 0.000 0.500 0.000
Er1 Er 0.000 0.000 0.500
Er2 Er 0.000 0.337 0.500
Se1 Se 0.242 0.168 0.732
Se2 Se 0.249 0.500 0.735
```

***

Looking at E_form (uncorrected) for the records above, in order, we have -1.777; -1.797; -1.777; -1.791; -1.854; -1.810; -1.331; -1.777 eV per atom.
Looking at final energy for the records above, in order, we have -0.2205; -0.2201; -0.2187; -0.2188; -0.2275; -0.2283; -0.2020; -0.2222 Ha/atom.
Looking at magnetic moment for the records above, in order, we have 1.057; 0.825; 1.257; 0.717; 3.013; 3.271; 1.752; 2.002 μB per formula unit.